# TiBiS2Cl (PBE, relaxed)
# Distance to the lowest polymorph of the same formula ... 954 meV/atom
# E_form (uncorrected) ... 0.39 eV per atom
# Volume ... 147.48 Å³/cell
data_TiBiS2Cl
_chemical_formula_sum 'Ti1 Bi1 S2 Cl1'
_cell_length_a 5.342
_cell_length_b 5.342
_cell_length_c 5.168
_cell_angle_alpha 90.00
_cell_angle_beta 90.00
_cell_angle_gamma 90.00
_symmetry_space_group_name_H-M 'P 4/m m m'
_symmetry_Int_Tables_number 123
_symmetry_space_group_name_Hall '-P 4 2'
loop_
_atom_site_label
_atom_site_type_symbol
_atom_site_fract_x
_atom_site_fract_y
_atom_site_fract_z
Ti1 Ti 0.000 0.000 0.000
Bi1 Bi 0.500 0.500 0.500
S1 S 0.000 0.500 0.500
Cl1 Cl 0.500 0.500 0.000